<A>
Material: YSbPd3
Method: DFT, PBE
State: optimized geometry

Computed properties:
**Crystal system**: cubic
**Density of states at the Fermi level**: 0.477 states/eV/atom
**Space group**: Pm-3m, No. 221

a b c (Å): 5.036 5.036 5.036
angles (deg): 90.00 90.00 90.00
Fractional coordinates of all 5 atoms:
Sb: 0.500 0.500 0.500
Pd: 0.000 0.000 0.500
Pd: 0.500 0.000 0.000
Pd: 0.000 0.500 0.000
Y: 0.000 0.000 0.000

***

<B>
Material: YSbPd3
Method: DFT, PBE
State: optimized geometry

Computed properties:
**Crystal system**: cubic
**Density of states at the Fermi level**: 0.327 states/eV/atom
**Space group**: Pm-3m, No. 221

a b c (Å): 4.925 4.925 4.925
angles (deg): 90.00 90.00 90.00
Fractional coordinates of all 5 atoms:
Pd: 0.500 0.000 0.000
Pd: 0.000 0.500 0.000
Sb: 0.000 0.000 0.000
Pd: 0.000 0.000 0.500
Y: 0.500 0.500 0.500

***

<C>
Material: YSbPd3
Method: DFT, PBE
State: optimized geometry

Computed properties:
**Crystal system**: tetragonal
**Density of states at the Fermi level**: 0.297 states/eV/atom
**Space group**: I-4m2, No. 119

a b c (Å): 5.212 5.212 9.740
angles (deg): 105.52 105.52 90.00
Fractional coordinates of all 10 atoms:
Pd: 0.622 0.875 0.751
Pd: 0.706 0.706 0.412
Sb: 0.000 0.000 0.000
Pd: 0.125 0.378 0.249
Pd: 0.129 0.875 0.751
Y: 0.877 0.377 0.754
Y: 0.623 0.123 0.246
Pd: 0.125 0.871 0.249
Sb: 0.250 0.750 0.500
Pd: 0.294 0.294 0.588

***

Which one sits at the top of the stability order? <C> does.